Run w
BeSe (PBE, relaxed); M_tot = 0.000 μB/cell; crystal system = monoclinic; D(E_F) = 0.51 states/eV/f.u.
1.0
11.6921 0.0000 0.0000
0.0000 3.5131 0.0000
-3.3594 0.0000 7.1529
Be Se
6 6
Direct
0.0000 0.0000 0.0000 Be
0.0031 0.5000 0.7837 Be
0.3568 0.0000 0.1467 Be
0.5000 0.5000 0.0000 Be
0.5031 0.0000 0.7837 Be
0.8568 0.5000 0.1467 Be
0.1633 0.0000 0.9395 Se
0.3661 0.5000 0.7080 Se
0.4738 0.5000 0.2535 Se
0.6633 0.5000 0.9395 Se
0.8661 0.0000 0.7080 Se
0.9738 0.0000 0.2535 Se

Run x
BeSe (PBE, relaxed); M_tot = 0.000 μB/cell; crystal system = hexagonal; D(E_F) = 1.13 states/eV/f.u.
1.0
5.1191 0.0000 0.0000
-2.5595 4.4333 0.0000
0.0000 0.0000 6.2805
Be Se
4 4
Direct
0.3333 0.6667 0.0924 Be
0.3333 0.6667 0.4076 Be
0.6667 0.3333 0.5924 Be
0.6667 0.3333 0.9076 Be
0.0000 0.0000 0.2500 Se
0.0000 0.0000 0.7500 Se
0.3333 0.6667 0.7500 Se
0.6667 0.3333 0.2500 Se

Stability ranking, top entry: run w; the second entry is 1.061 eV/atom less favorable.